DFT (PBE) results for a relaxed structure of Ac5PrPt4.

Computed properties:
**Calculated total energy**: -5.8910 eV/atom
**Fermi-level density of states**: 0.704 states/eV/atom
**Formation energy from the elements**: -0.942 eV per atom
**Space-group type**: C2/m, No. 12
**Total magnetic moment**: 0.0 Bohr magnetons per cell

Unit cell a=4.384 b=8.653 c=9.736 alpha=104.02 beta=103.01 gamma=90.00
Atoms (fractional coordinates):
1 Ac 0.838 0.672 0.676
2 Ac 0.833 0.151 0.667
3 Ac 0.167 0.849 0.333
4 Ac 0.500 0.500 0.000
5 Ac 0.162 0.328 0.324
6 Pr 0.500 0.000 0.000
7 Pt 0.333 0.906 0.665
8 Pt 0.000 0.748 0.001
9 Pt 0.667 0.094 0.335
10 Pt 0.000 0.252 0.999